1.
{"formula": "CdAsP2", "functional": "meta-GGA SCAN", "state": "PBEsol geometry", "cell": [[-0.268, 0.533, -4.575], [2.966, -2.210, -2.758], [-1.467, -3.483, -2.646]], "species": ["Cd", "P", "P", "As"], "fractional_positions": [[0.250, 0.250, 0.250], [0.000, 0.000, 0.000], [0.750, 0.750, 0.750], [0.500, 0.500, 0.500]], "sg": "F-43m, No. 216", "e_above_lowest_polymorph_ev_per_atom": 0.096, "e_tot_ev_per_atom": -17.16, "magmom_total_mub_per_cell": 0.00, "e_form_mev_per_atom": 688}

2.
{"formula": "CuIr", "functional": "meta-GGA SCAN", "state": "PBEsol geometry", "cell": [[-0.958, 0.511, 2.437], [-4.027, -0.750, -1.426], [0.426, -4.328, 1.074]], "species": ["Ir", "Ir", "Cu", "Cu"], "fractional_positions": [[0.500, 0.000, 0.073], [0.000, 0.500, 0.927], [0.000, 0.000, 0.571], [0.500, 0.500, 0.429]], "sg": "Pmmn, No. 59", "e_tot_ev_per_atom": -43.08, "magmom_total_mub_per_cell": 0.00, "e_form_mev_per_atom": 68}

3.
{"formula": "Sc4NiSe", "functional": "meta-GGA SCAN", "state": "PBEsol geometry", "cell": [[-1.509, 0.338, 5.326], [-4.769, -2.278, 1.681], [0.066, -4.533, 3.194]], "species": ["Sc", "Ni", "Sc", "Sc", "Sc", "Se"], "fractional_positions": [[0.877, 0.374, 0.374], [0.000, 0.000, 0.000], [0.374, 0.374, 0.374], [0.374, 0.877, 0.374], [0.374, 0.374, 0.877], [0.750, 0.750, 0.750]], "sg": "F-43m, No. 216", "e_tot_ev_per_atom": -15.08, "magmom_total_mub_per_cell": 0.01}

4.
{"formula": "RbCaHfCr2", "functional": "meta-GGA SCAN", "state": "PBEsol geometry", "cell": [[5.016, 0.000, 0.000], [0.000, 5.016, 0.000], [0.000, 0.000, 5.850]], "species": ["Cr", "Cr", "Ca", "Rb", "Hf"], "fractional_positions": [[0.000, 0.500, 0.000], [0.500, 0.000, 0.000], [0.000, 0.000, 0.500], [0.500, 0.500, 0.500], [0.000, 0.000, 0.000]], "sg": "P4/mmm, No. 123", "e_tot_ev_per_atom": -24.83, "magmom_total_mub_per_cell": 6.67, "e_form_mev_per_atom": 1141}

5.
{"formula": "SbMoRu", "functional": "meta-GGA SCAN", "state": "PBEsol geometry", "cell": [[2.899, 0.000, 0.000], [0.000, 4.408, 0.000], [0.000, -2.204, 3.818]], "species": ["Mo", "Ru", "Sb"], "fractional_positions": [[0.500, 0.000, 0.000], [0.000, 0.333, 0.667], [0.000, 0.667, 0.333]], "sg": "P-6m2, No. 187", "e_tot_ev_per_atom": -35.43, "magmom_total_mub_per_cell": 0.00}

6.
{"formula": "CuNi6Ru", "functional": "meta-GGA SCAN", "state": "PBEsol geometry", "cell": [[6.088, 0.000, 0.000], [-2.026, 5.741, 0.000], [0.000, 0.000, 9.940]], "species": ["Ni", "Ru", "Cu", "Ni", "Ni", "Ni", "Ru", "Ni", "Ni", "Ni", "Ni", "Ru", "Ni", "Cu", "Ni", "Ni", "Ni", "Cu", "Ni", "Ni", "Ni", "Ni", "Ni", "Ni", "Ni", "Ni", "Ru", "Ni", "Ni", "Cu", "Ni", "Ni"], "fractional_positions": [[0.250, 0.750, 0.249], [0.751, 0.249, 0.500], [0.500, 0.500, 0.752], [0.250, 0.750, 0.751], [0.750, 0.250, 0.751], [0.000, 0.000, 0.000], [0.000, 0.000, 0.245], [0.500, 0.500, 0.500], [0.874, 0.624, 0.626], [0.376, 0.126, 0.626], [0.376, 0.126, 0.876], [0.000, 0.000, 0.755], [0.624, 0.874, 0.876], [0.750, 0.250, 0.000], [0.874, 0.624, 0.374], [0.624, 0.874, 0.626], [0.126, 0.376, 0.626], [0.500, 0.500, 0.248], [0.000, 0.000, 0.500], [0.874, 0.624, 0.124], [0.126, 0.376, 0.876], [0.500, 0.500, 0.000], [0.376, 0.126, 0.374], [0.126, 0.376, 0.374], [0.624, 0.874, 0.374], [0.376, 0.126, 0.124], [0.249, 0.751, 0.500], [0.126, 0.376, 0.124], [0.624, 0.874, 0.124], [0.250, 0.750, 0.000], [0.874, 0.624, 0.876], [0.750, 0.250, 0.249]], "sg": "Cmmm, No. 65", "e_tot_ev_per_atom": -18.31, "magmom_total_mub_per_cell": 23.53, "e_form_mev_per_atom": 71}

7.
{"formula": "LiTlReNi2", "functional": "meta-GGA SCAN", "state": "PBEsol geometry", "cell": [[-2.433, 1.979, 2.422], [-0.123, -3.127, 2.431], [3.406, 1.545, 2.159]], "species": ["Ni", "Ni", "Li", "Tl", "Re"], "fractional_positions": [[0.500, 0.000, 0.000], [0.000, 0.500, 0.000], [0.000, 0.000, 0.000], [0.000, 0.000, 0.500], [0.500, 0.500, 0.500]], "sg": "P4/mmm, No. 123", "e_tot_ev_per_atom": -34.46, "magmom_total_mub_per_cell": 2.19, "e_form_mev_per_atom": 1177}

8.
{"formula": "MnCoP", "functional": "meta-GGA SCAN", "state": "PBEsol geometry", "cell": [[-1.000, 2.449, 2.157], [-4.167, -3.456, 1.992], [4.130, -2.342, 4.574]], "species": ["Mn", "Mn", "P", "Co", "P", "Co", "Co", "Mn", "Co", "P", "Mn", "P"], "fractional_positions": [[0.750, 0.972, 0.168], [0.250, 0.528, 0.668], [0.250, 0.265, 0.126], [0.250, 0.143, 0.436], [0.250, 0.765, 0.374], [0.250, 0.643, 0.064], [0.750, 0.357, 0.936], [0.250, 0.028, 0.832], [0.750, 0.857, 0.564], [0.750, 0.235, 0.626], [0.750, 0.472, 0.332], [0.750, 0.735, 0.874]], "sg": "Pnma, No. 62", "e_tot_ev_per_atom": -16.04, "magmom_total_mub_per_cell": 12.36, "e_form_mev_per_atom": -717}